No. 1
16
Lattice="-0.7017 -0.8520 6.0497 6.2828 -2.1064 0.4320 3.8163 6.5130 1.3599" Properties=species:S:1:pos:R:3 comment="PBE-GGA RbO3, optimized geometry" formation_energy_uncorrected_ev_per_atom=-0.630 pbc="T T T"
O 3.8391 4.1239 1.4204
O 4.0054 -0.8856 2.1816
Rb 3.3315 1.3081 5.2153
Rb 6.0660 2.2464 2.6264
O 4.8100 -0.5043 3.2181
O 1.3080 -0.8083 4.7617
Rb 8.3712 3.4995 6.1958
O 6.3656 1.4046 5.5890
O 5.3920 4.4401 5.6601
O 4.5875 4.0589 4.6236
O 6.5626 0.0544 5.7361
O 5.5584 -0.5694 6.4213
O 3.0319 2.1499 2.2527
O 2.8348 3.5002 2.1056
O 8.0894 4.3628 3.0800
Rb 1.0262 0.0550 1.6459


No. 2
16
Lattice="-8.9351 -6.0698 3.0839 -0.4774 -4.5172 -10.2740 2.9590 -3.6176 1.4531" Properties=species:S:1:pos:R:3 comment="PBE-GGA RbO, optimized geometry" formation_energy_uncorrected_ev_per_atom=-0.501 pbc="T T T"
O -0.0388 -5.7857 -6.0827
O -3.6653 -5.8338 -7.0599
O -1.2419 -4.2126 0.2838
O -1.9849 -2.8897 -3.1524
Rb -6.8828 -10.4689 -3.8049
Rb -5.7564 -7.2204 -6.2538
O -6.4147 -8.4189 0.3456
O -7.4277 -7.6973 -4.0378
O -5.2116 -9.9920 -6.0209
Rb -4.9183 -6.5829 1.8692
Rb -7.2435 -6.5892 -1.6539
O -5.7472 -4.7532 -0.1303
Rb -3.6561 -3.3666 -0.9363
Rb 0.4293 -3.7357 -1.9322
Rb -1.5351 -7.6217 -7.6063
Rb -2.1690 -3.9979 -5.5363


No. 3
8
Lattice="6.4074 0.0000 0.0000 0.0000 6.4074 0.0000 0.0000 0.0000 6.4074" Properties=species:S:1:pos:R:3 comment="PBE-GGA RbO, optimized geometry" formation_energy_uncorrected_ev_per_atom=-0.454 pbc="T T T"
Rb 3.2037 3.2037 0.0000
O 1.6019 4.8056 4.8056
Rb 0.0000 3.2037 3.2037
Rb 3.2037 0.0000 3.2037
Rb 0.0000 0.0000 0.0000
O 1.6019 1.6019 1.6019
O 4.8056 4.8056 1.6019
O 4.8056 1.6019 4.8056